VASP calculation (GGA-PBE) on a relaxed structure of La3SiBr.

Unit cell a=4.195 b=8.537 c=8.661 alpha=99.16 beta=90.00 gamma=90.00
Last column: magnetic moment on the atom in μB.
Fractional positions:
Br 0.250 0.876 0.373  0.00
Br 0.750 0.124 0.627  0.00
La 0.250 0.889 0.752  0.01
La 0.750 0.322 0.967  0.12
La 0.750 0.111 0.248  0.01
La 0.250 0.678 0.033  0.12
La 0.750 0.607 0.383  0.05
La 0.250 0.393 0.617  0.05
Si 0.250 0.374 0.237  0.00
Si 0.750 0.626 0.763  0.00

Calculated values
- space-group type = P2_1/m, No. 11
- uncorrected energy (eV per atom) = -5.200
- total magnetization (μB per formula unit) = 0.4

---

VASP calculation (GGA-PBE) on a relaxed structure of Pm7Cd.

Unit cell a=7.147 b=7.147 c=7.147 alpha=60.00 beta=60.00 gamma=60.00
Fractional positions:
Cd 0.000 0.000 0.000
Pm 0.500 0.000 0.000
Pm 0.000 0.500 0.500
Pm 0.000 0.500 0.000
Pm 0.500 0.500 0.500
Pm 0.500 0.500 0.000
Pm 0.000 0.000 0.500
Pm 0.500 0.000 0.500

Calculated values
- space-group type = Fm-3m, No. 225
- uncorrected energy (eV per atom) = -4.309
- total magnetization (μB per formula unit) = 0.0

---

VASP calculation (GGA-PBE) on a relaxed structure of Ho8PdRh2.

Unit cell a=5.892 b=7.534 c=7.534 alpha=113.16 beta=99.84 gamma=99.84
Fractional positions:
Ho 0.989 0.781 0.223
Ho 0.583 0.082 0.342
Ho 0.387 0.665 0.925
Ho 0.169 0.368 0.368
Ho 0.387 0.925 0.665
Ho 0.989 0.223 0.781
Ho 0.583 0.342 0.082
Ho 0.806 0.636 0.636
Pd 0.132 0.004 0.004
Rh 0.488 0.695 0.313
Rh 0.488 0.313 0.695

Calculated values
- space-group type = Cm, No. 8
- uncorrected energy (eV per atom) = -5.576
- total magnetization (μB per formula unit) = 0.0

---

VASP calculation (GGA-PBE) on a relaxed structure of PrEuTlCd.

Unit cell a=5.562 b=5.562 c=5.562 alpha=60.00 beta=60.00 gamma=60.00
Last column: magnetic moment on the atom in μB.
Fractional positions:
Eu 0.250 0.250 0.250  6.88
Cd 0.500 0.500 0.500  0.01
Tl 0.000 0.000 0.000  -0.01
Pr 0.750 0.750 0.750  0.09

Calculated values
- space-group type = F-43m, No. 216
- uncorrected energy (eV per atom) = -4.959
- total magnetization (μB per formula unit) = 7.4

---

VASP calculation (GGA-PBE) on a relaxed structure of Ca2BiPd4.

Unit cell a=5.058 b=5.058 c=8.193 alpha=107.98 beta=107.98 gamma=90.00
Fractional positions:
Pd 0.817 0.817 0.635
Pd 0.183 0.183 0.365
Pd 0.000 0.500 0.000
Pd 0.500 0.000 0.000
Ca 0.632 0.632 0.263
Ca 0.368 0.368 0.737
Bi 0.000 0.000 0.000

Calculated values
- space-group type = I4/mmm, No. 139
- uncorrected energy (eV per atom) = -4.174
- total magnetization (μB per formula unit) = 0.0

---

VASP calculation (GGA-PBE) on a relaxed structure of AcTb2ErAs4.

Unit cell a=4.237 b=7.339 c=7.335 alpha=70.63 beta=90.00 gamma=90.00
Fractional positions:
Tb 0.500 0.000 0.500
Tb 0.000 0.000 0.000
As 0.500 0.245 0.741
As 0.000 0.764 0.734
As 0.000 0.236 0.266
As 0.500 0.755 0.259
Er 0.000 0.500 0.500
Ac 0.500 0.500 0.000

Calculated values
- space-group type = P2/m, No. 10
- uncorrected energy (eV per atom) = -6.034
- total magnetization (μB per formula unit) = 0.0

---

VASP calculation (GGA-PBE) on a relaxed structure of DyErInCo.

Unit cell a=5.062 b=5.062 c=5.062 alpha=60.00 beta=60.00 gamma=60.00
Last column: magnetic moment on the atom in μB.
Fractional positions:
In 0.500 0.500 0.500  0.05
Er 0.750 0.750 0.750  -0.11
Dy 0.250 0.250 0.250  -0.11
Co 0.000 0.000 0.000  1.44

Calculated values
- space-group type = F-43m, No. 216
- uncorrected energy (eV per atom) = -4.959
- total magnetization (μB per formula unit) = 1.2

---

VASP calculation (GGA-PBE) on a relaxed structure of Pm2Sm2Tm.

Unit cell a=5.773 b=3.631 c=16.421 alpha=96.35 beta=100.12 gamma=90.00
Fractional positions:
Tm 0.828 0.578 0.655
Tm 0.172 0.422 0.345
Sm 0.632 0.882 0.263
Sm 0.368 0.118 0.737
Sm 0.729 0.979 0.459
Sm 0.271 0.021 0.541
Pm 0.543 0.293 0.087
Pm 0.941 0.191 0.882
Pm 0.457 0.707 0.913
Pm 0.059 0.809 0.118

Calculated values
- space-group type = Imma, No. 74
- uncorrected energy (eV per atom) = -4.544
- total magnetization (μB per formula unit) = 0.0

---

VASP calculation (GGA-PBE) on a relaxed structure of NaTc3Sb.

Unit cell a=4.567 b=4.567 c=4.567 alpha=90.00 beta=90.00 gamma=90.00
Last column: magnetic moment on the atom in μB.
Fractional positions:
Tc 0.000 0.000 0.500  1.65
Tc 0.000 0.500 0.000  1.53
Tc 0.500 0.000 0.000  1.48
Sb 0.500 0.500 0.500  -0.07
Na 0.000 0.000 0.000  0.04

Calculated values
- space-group type = Pm-3m, No. 221
- uncorrected energy (eV per atom) = -5.093
- total magnetization (μB per formula unit) = 5.0

---

VASP calculation (GGA-PBE) on a relaxed structure of Li2CaTb2Ge2.

Unit cell a=4.553 b=4.553 c=9.399 alpha=75.98 beta=75.98 gamma=60.00
Fractional positions:
Tb 0.128 0.128 0.616
Tb 0.872 0.872 0.384
Ge 0.256 0.256 0.232
Ge 0.744 0.744 0.768
Li 0.404 0.404 0.788
Li 0.596 0.596 0.212
Ca 0.000 0.000 0.000

Calculated values
- space-group type = R-3m, No. 166
- uncorrected energy (eV per atom) = -3.954
- total magnetization (μB per formula unit) = 0.0

---

VASP calculation (GGA-PBE) on a relaxed structure of YGaBr2.

Unit cell a=7.119 b=7.119 c=8.045 alpha=63.74 beta=63.74 gamma=90.00
Last column: magnetic moment on the atom in μB.
Fractional positions:
Y 0.750 0.250 0.500  0.27
Y 0.000 0.000 0.000  0.27
Br 0.375 0.326 0.750  0.01
Br 0.076 0.625 0.250  0.01
Br 0.674 0.125 0.250  0.01
Br 0.875 0.924 0.750  0.01
Ga 0.500 0.500 0.000  0.06
Ga 0.250 0.750 0.500  0.06

Calculated values
- space-group type = I-42d, No. 122
- uncorrected energy (eV per atom) = -3.677
- total magnetization (μB per formula unit) = 0.9

---

VASP calculation (GGA-PBE) on a relaxed structure of Tb10NdTh4.

Unit cell a=10.819 b=8.727 c=8.727 alpha=67.40 beta=51.69 gamma=51.69
Fractional positions:
Tb 0.773 0.671 0.096
Tb 0.444 0.096 0.329
Tb 0.460 0.671 0.096
Tb 0.750 0.500 0.500
Tb 0.227 0.329 0.904
Tb 0.869 0.904 0.671
Tb 0.556 0.904 0.671
Tb 0.250 0.500 0.500
Tb 0.540 0.329 0.904
Tb 0.131 0.096 0.329
Th 0.936 0.402 0.726
Th 0.662 0.274 0.402
Th 0.064 0.598 0.274
Th 0.338 0.726 0.598
Nd 0.000 0.000 0.000

Calculated values
- space-group type = I4/m, No. 87
- uncorrected energy (eV per atom) = -5.014
- total magnetization (μB per formula unit) = 0.0